A plane-wave DFT calculation with PBE was carried out for a relaxed CeBiCl crystal.

Calculated values
total energy: -0.3655 Ry per atom
magnetic moment: 0.26 μB/cell
distance to the lowest polymorph of the same formula: 128 meV per atom
energy relative to the elements, uncorrected: -3.26 eV per formula unit

Cell lengths 4.7746, 4.7746, 4.3236 Å; angles 90.00, 90.00, 120.00 degrees
Last column: nearest neighbours and their distance in Å.
Space group P-6m2 (No. 187)
Asymmetric unit:
Ce  0.0000  0.0000  0.0000  3 Cl 2.76
Bi  0.6667  0.3333  0.5000  6 Ce 3.50, 6 Cl 3.50
Cl  0.3333  0.6667  0.0000  3 Ce 2.76

---

A plane-wave DFT calculation with PBE was carried out for a relaxed Ce2BiCl2 crystal.

Calculated values
total energy: -0.3939 Ry per atom
magnetic moment: 7.98 μB/cell
energy relative to the elements, uncorrected: -7.35 eV per formula unit

Cell lengths 4.3708, 4.3708, 30.7525 Å; angles 90.00, 90.00, 120.00 degrees
Last column: nearest neighbours and their distance in Å.
Space group R-3m (No. 166, hexagonal axes)
Asymmetric unit:
Ce  0.0000  0.0000  0.1030  3 Cl 2.94, 3 Bi 3.19
Bi  0.0000  0.0000  0.5000  6 Ce 3.19
Cl  0.0000  0.0000  0.2792  3 Ce 2.94

---

A plane-wave DFT calculation with PBE was carried out for a relaxed CeBiCl crystal.

Calculated values
total energy: -0.3670 Ry per atom
magnetic moment: 2.84 μB/cell
distance to the lowest polymorph of the same formula: 108 meV per atom
energy relative to the elements, uncorrected: -3.32 eV per formula unit

Cell lengths 4.5135, 4.5135, 8.7964 Å; angles 90.00, 90.00, 90.00 degrees
Last column: nearest neighbours and their distance in Å.
Space group P4/nmm (No. 129, origin choice 2)
Asymmetric unit:
Ce  0.2500  0.2500  0.2165  1 Cl 2.95
Bi  0.2500  0.7500  0.5000  4 Bi 3.19, 4 Ce 3.36
Cl  0.2500  0.2500  0.8812  1 Ce 2.95

---

A plane-wave DFT calculation with PBE was carried out for a relaxed CeBiCl crystal.

Calculated values
total energy: -0.3749 Ry per atom
magnetic moment: 8.05 μB/cell
distance to the lowest polymorph of the same formula: 0 meV per atom
energy relative to the elements, uncorrected: -3.64 eV per formula unit

Cell lengths 10.1389, 10.1780, 7.1188 Å; angles 90.00, 90.00, 90.00 degrees
Last column: nearest neighbours and their distance in Å.
Space group Cmc2_1 (No. 36)
Asymmetric unit:
Ce  0.2172  0.1491  0.0000  3 Cl 2.81-2.92
Bi  0.0000  0.0844  0.3534  1 Bi 3.13, 4 Ce 3.40-3.41
Bi  0.0000  0.2744  0.6984  1 Bi 3.13, 4 Ce 3.29-3.33
Cl  0.1676  0.4077  0.1498  3 Ce 2.81-2.92

---

A plane-wave DFT calculation with PBE was carried out for a relaxed Ce3BiPCl crystal.

Calculated values
total energy: -0.4374 Ry per atom
magnetic moment: 9.14 μB/cell
energy relative to the elements, uncorrected: -6.77 eV per formula unit

Cell lengths 8.0529, 4.4466, 9.9482 Å; angles 90.00, 107.55, 90.00 degrees
Last column: nearest neighbours and their distance in Å.
Space group P2_1/m (No. 11)
Asymmetric unit:
Ce  0.0526  0.2500  0.3534  3 P 2.78-2.89
Ce  0.2032  0.2500  0.9547  3 Cl 2.87-3.07, 1 P 3.01
Ce  0.4062  0.7500  0.6244  1 Cl 2.79, 2 P 2.94
Bi  0.2639  0.7500  0.2308  6 Ce 3.25-3.45
P  0.1774  0.2500  0.6461  6 Ce 2.78-3.01
Cl  0.4013  0.7500  0.9035  4 Ce 2.79-3.07, 2 Cl 3.05

---

A plane-wave DFT calculation with PBE was carried out for a relaxed CePuBiCl2 crystal.

Calculated values
total energy: -0.5057 Ry per atom
magnetic moment: 27.99 μB/cell
energy relative to the elements, uncorrected: -6.56 eV per formula unit

Cell lengths 4.3457, 15.0247, 9.0663 Å; angles 90.00, 90.00, 90.00 degrees
Last column: nearest neighbours and their distance in Å.
Space group Cmcm (No. 63)
Asymmetric unit:
Ce  0.0000  0.2293  0.2500  6 Cl 3.01-3.02, 2 Bi 3.33
Pu  0.0000  0.0000  0.0000  2 Cl 2.81
Bi  0.0000  0.4391  0.7500  4 Pu 3.27, 2 Ce 3.33
Cl  0.0000  0.1818  0.5735  1 Pu 2.81, 3 Ce 3.01-3.02

---

A plane-wave DFT calculation with PBE was carried out for a relaxed CeCoBi2 crystal.

Calculated values
formation enthalpy at 0 K: 0.3463 eV per atom
total energy: -0.3568 Ry per atom
magnetic moment: 6.87 μB/cell

Cell lengths 3.4099, 3.4099, 31.9162 Å; angles 90.00, 90.00, 120.00 degrees
Last column: nearest neighbours and their distance in Å.
Space group R-3m (No. 166, hexagonal axes)
Asymmetric unit:
Ce  0.0000  0.0000  0.0000  6 Bi 3.41, 6 Ce 3.41
Co  0.0000  0.0000  0.5000  2 Bi 2.54
Bi  0.0000  0.0000  0.4204  1 Co 2.54

---

A plane-wave DFT calculation with PBE was carried out for a relaxed Ce4CoBi2 crystal.

Calculated values
formation enthalpy at 0 K: -0.5208 eV per atom
total energy: -0.4436 Ry per atom
magnetic moment: 7.19 μB/cell
distance to the lowest polymorph of the same formula: 21 meV per atom

Cell lengths 5.0953, 16.2518, 4.7559 Å; angles 90.00, 90.00, 90.00 degrees
Last column: nearest neighbours and their distance in Å.
Space group Cmmm (No. 65)
Asymmetric unit:
Ce  0.0000  0.0000  0.0000  2 Co 2.38
Ce  0.0000  0.1796  0.5000  1 Co 2.92
Ce  0.0000  0.5000  0.5000  2 Co 2.55
Co  0.0000  0.0000  0.5000  4 Ce 2.38-2.55
Bi  0.0000  0.3489  0.0000  10 Ce 3.42-3.64

---

A plane-wave DFT calculation with PBE was carried out for a relaxed Ce12Co5Bi crystal.

Calculated values
formation enthalpy at 0 K: -0.1635 eV per atom
total energy: -0.4637 Ry per atom
magnetic moment: 17.11 μB/cell

Cell lengths 9.2243, 9.3992, 10.1500 Å; angles 90.00, 90.00, 90.00 degrees
Last column: nearest neighbours and their distance in Å.
Space group Immm (No. 71)
Asymmetric unit:
Ce  0.0000  0.1763  0.1996  2 Co 2.62-2.64
Ce  0.1855  0.5000  0.1735  3 Co 2.60-2.80
Ce  0.1928  0.3192  0.5000  2 Co 2.81
Co  0.0000  0.0000  0.0000  4 Ce 2.62
Co  0.0000  0.3562  0.0000  6 Ce 2.64-2.80, 1 Co 2.70
Co  0.0000  0.5000  0.3658  6 Ce 2.60-2.81, 1 Co 2.72
Bi  0.0000  0.0000  0.5000  12 Ce 3.39-3.49

---

A plane-wave DFT calculation with PBE was carried out for a relaxed Ce6Co2Bi crystal.

Calculated values
formation enthalpy at 0 K: -0.2761 eV per atom
total energy: -0.4588 Ry per atom
magnetic moment: 4.61 μB/cell
distance to the lowest polymorph of the same formula: 0 meV per atom

Cell lengths 10.9016, 4.4883, 8.8138 Å; angles 90.00, 91.08, 90.00 degrees
Last column: nearest neighbours and their distance in Å.
Space group C2/m (No. 12)
Asymmetric unit:
Ce  0.0847  0.0000  0.1758  3 Co 2.97-3.08, 2 Ce 2.98
Ce  0.0929  0.5000  0.8625  3 Co 2.74-2.82, 2 Ce 2.98
Ce  0.2175  0.0000  0.6152  1 Co 2.47
Co  0.2476  0.0000  0.8934  2 Ce 2.47-2.74
Bi  0.0000  0.5000  0.5000  8 Ce 3.26-3.41

---

A plane-wave DFT calculation with PBE was carried out for a relaxed Ce5CoBi3 crystal.

Calculated values
formation enthalpy at 0 K: -0.5960 eV per atom
total energy: -0.4392 Ry per atom
magnetic moment: 11.54 μB/cell

Cell lengths 9.5592, 9.5592, 6.4464 Å; angles 90.00, 90.00, 120.00 degrees
Last column: nearest neighbours and their distance in Å.
Space group P6_3/mcm (No. 193)
Asymmetric unit:
Ce  0.0000  0.2355  0.2500  2 Co 2.77
Ce  0.3333  0.6667  0.0000  2 Ce 3.22, 6 Bi 3.36
Co  0.0000  0.0000  0.0000  6 Ce 2.77
Bi  0.0000  0.3931  0.7500  9 Ce 3.28-3.56

---

A plane-wave DFT calculation with PBE was carried out for a relaxed Ce4CoBi3 crystal.

Calculated values
formation enthalpy at 0 K: -0.4509 eV per atom
total energy: -0.4235 Ry per atom
magnetic moment: 7.77 μB/cell

Cell lengths 6.3808, 12.5986, 6.4462 Å; angles 90.00, 90.00, 90.00 degrees
Last column: nearest neighbours and their distance in Å.
Space group Pmmn (No. 59, origin choice 2)
Asymmetric unit:
Ce  0.2500  0.0156  0.2457  1 Co 2.97, 4 Bi 3.20-3.24
Ce  0.2500  0.2500  0.8649  1 Co 2.18
Ce  0.2500  0.7500  0.7622  4 Bi 3.19-3.23, 2 Co 3.20
Co  0.2500  0.2500  0.2029  1 Ce 2.18
Bi  0.2500  0.0032  0.7442  6 Ce 3.19-3.24
Bi  0.2500  0.7500  0.2611  6 Ce 3.22-3.35

---

A plane-wave DFT calculation with PBE was carried out for a relaxed Ce6CoBi crystal.

Calculated values
formation enthalpy at 0 K: -0.0491 eV per atom
total energy: -0.4316 Ry per atom
magnetic moment: 0.01 μB/cell

Cell lengths 7.0055, 10.7697, 6.4213 Å; angles 90.00, 120.82, 90.00 degrees
Last column: nearest neighbours and their distance in Å.
Space group C2/m (No. 12)
Asymmetric unit:
Ce  0.1813  0.2391  0.2172  2 Ce 2.64-2.94, 1 Co 2.89
Ce  0.2178  0.0000  0.8192  1 Co 2.34
Co  0.0000  0.0000  0.0000  2 Ce 2.34
Bi  0.0000  0.5000  0.5000  6 Ce 3.28-3.50, 2 Co 3.32

---

A plane-wave DFT calculation with PBE was carried out for a relaxed Ce7Co2Bi crystal.

Calculated values
formation enthalpy at 0 K: -0.0992 eV per atom
total energy: -0.4456 Ry per atom
magnetic moment: 8.94 μB/cell

Cell lengths 9.5885, 12.4282, 4.7984 Å; angles 90.00, 90.00, 90.00 degrees
Last column: nearest neighbours and their distance in Å.
Space group Cmmm (No. 65)
Asymmetric unit:
Ce  0.0000  0.0000  0.0000  2 Co 2.48
Ce  0.0000  0.2162  0.5000  2 Co 2.41
Ce  0.1959  0.3870  0.0000  1 Ce 2.81, 2 Co 2.99-3.11
Co  0.0000  0.1994  0.0000  3 Ce 2.41-2.48
Bi  0.0000  0.5000  0.5000  10 Ce 3.36-3.53

---

A plane-wave DFT calculation with PBE was carried out for a relaxed Ce4CoBi2 crystal.

Calculated values
formation enthalpy at 0 K: -0.5413 eV per atom
total energy: -0.4451 Ry per atom
magnetic moment: 7.04 μB/cell
distance to the lowest polymorph of the same formula: 0 meV per atom

Cell lengths 4.8634, 4.8634, 17.5976 Å; angles 90.00, 90.00, 90.00 degrees
Last column: nearest neighbours and their distance in Å.
Space group I4/mmm (No. 139)
Asymmetric unit:
Ce  0.0000  0.0000  0.1706  1 Co 3.00, 1 Bi 3.32
Ce  0.0000  0.5000  0.0000  2 Co 2.43
Co  0.0000  0.0000  0.0000  4 Ce 2.43
Bi  0.0000  0.0000  0.3594  9 Ce 3.32-3.48

---

A plane-wave DFT calculation with PBE was carried out for a relaxed Ce4CoBi2 crystal.

Calculated values
formation enthalpy at 0 K: -0.4735 eV per atom
total energy: -0.4401 Ry per atom
magnetic moment: 6.25 μB/cell
distance to the lowest polymorph of the same formula: 68 meV per atom

Cell lengths 6.4247, 6.5824, 9.5768 Å; angles 90.00, 104.76, 90.00 degrees
Last column: nearest neighbours and their distance in Å.
Space group P2_1/m (No. 11)
Asymmetric unit:
Ce  0.1880  0.2500  0.0887  1 Co 2.46
Ce  0.2479  0.5317  0.7419  1 Co 2.69, 1 Ce 2.87
Ce  0.2677  0.7500  0.3940  1 Co 2.39
Co  0.0045  0.2500  0.8296  2 Ce 2.39-2.46
Bi  0.2070  0.2500  0.4418  8 Ce 3.33-3.37
Bi  0.3464  0.7500  0.0627  1 Co 2.71

---

A plane-wave DFT calculation with PBE was carried out for a relaxed Ce3CoBi crystal.

Calculated values
formation enthalpy at 0 K: -0.3850 eV per atom
total energy: -0.4515 Ry per atom
magnetic moment: 4.93 μB/cell
distance to the lowest polymorph of the same formula: 63 meV per atom

Cell lengths 8.0739, 4.4160, 8.3725 Å; angles 90.00, 117.84, 90.00 degrees
Last column: nearest neighbours and their distance in Å.
Space group P2_1/m (No. 11)
Asymmetric unit:
Ce  0.0805  0.2500  0.3923  1 Co 2.28
Ce  0.2296  0.2500  0.9169  1 Co 2.66
Ce  0.3142  0.7500  0.2782  3 Co 3.00-3.12, 2 Ce 3.32, 2 Bi 3.32
Co  0.0363  0.2500  0.1021  1 Ce 2.28
Bi  0.3694  0.7500  0.7019  9 Ce 3.32-3.37

---

A plane-wave DFT calculation with PBE was carried out for a relaxed Ce3CoBi2 crystal.

Calculated values
formation enthalpy at 0 K: -0.4211 eV per atom
total energy: -0.4311 Ry per atom
magnetic moment: 9.91 μB/cell

Cell lengths 7.5032, 12.7369, 7.7668 Å; angles 90.00, 109.28, 90.00 degrees
Last column: nearest neighbours and their distance in Å.
Space group C2/m (No. 12)
Asymmetric unit:
Ce  0.1934  0.0000  0.1997  2 Co 2.74
Ce  0.2486  0.1871  0.7818  2 Co 2.80-2.92
Co  0.0000  0.1658  0.0000  6 Ce 2.74-2.92
Bi  0.0000  0.0000  0.5000  6 Ce 3.13-3.35
Bi  0.0000  0.3518  0.5000  6 Ce 3.16-3.36
Bi  0.0000  0.5000  0.0000  6 Ce 3.16-3.17

---

A plane-wave DFT calculation with PBE was carried out for a relaxed Ce12CoBi6 crystal.

Calculated values
formation enthalpy at 0 K: -0.3798 eV per atom
total energy: -0.4209 Ry per atom
magnetic moment: 33.76 μB/cell

Cell lengths 12.2432, 12.2432, 12.6646 Å; angles 90.00, 90.00, 120.00 degrees
Last column: nearest neighbours and their distance in Å.
Space group R-3 (No. 148, hexagonal axes)
Asymmetric unit:
Ce  0.0466  0.8637  0.3220  1 Ce 2.85
Ce  0.0601  0.2034  0.8838  1 Co 2.66, 1 Ce 2.85
Co  0.0000  0.0000  0.0000  6 Ce 2.66
Bi  0.0170  0.5857  0.2244  9 Ce 3.28-3.56

---

A plane-wave DFT calculation with PBE was carried out for a relaxed Ce7Co2Bi2 crystal.

Calculated values
formation enthalpy at 0 K: -0.1789 eV per atom
total energy: -0.4375 Ry per atom
magnetic moment: 4.94 μB/cell

Cell lengths 12.0577, 7.2198, 6.7661 Å; angles 90.00, 97.67, 90.00 degrees
Last column: nearest neighbours and their distance in Å.
Space group C2/m (No. 12)
Asymmetric unit:
Ce  0.0000  0.0000  0.0000  2 Co 2.38
Ce  0.0739  0.5000  0.8680  1 Ce 2.69, 1 Co 2.74
Ce  0.2258  0.2913  0.2847  2 Co 2.73-2.83, 2 Ce 2.96-3.01
Co  0.1985  0.0000  0.0261  1 Ce 2.38
Bi  0.0000  0.2172  0.5000  1 Bi 3.14, 6 Ce 3.25-3.43

---

A plane-wave DFT calculation with PBE was carried out for a relaxed Ce5Co2Bi2 crystal.

Calculated values
formation enthalpy at 0 K: -0.3314 eV per atom
total energy: -0.4461 Ry per atom
magnetic moment: 4.66 μB/cell

Cell lengths 14.5711, 5.0251, 6.4883 Å; angles 90.00, 105.90, 90.00 degrees
Last column: nearest neighbours and their distance in Å.
Space group C2/m (No. 12)
Asymmetric unit:
Ce  0.0000  0.0000  0.0000  2 Co 2.38
Ce  0.1608  0.5000  0.8666  1 Co 2.42
Ce  0.1790  0.0000  0.6078  2 Ce 3.07, 3 Bi 3.22-3.44, 2 Co 3.24-3.25
Co  0.1697  0.0000  0.1026  2 Ce 2.38-2.42
Bi  0.0785  0.5000  0.3226  8 Ce 3.22-3.48, 2 Co 3.34

---

A plane-wave DFT calculation with PBE was carried out for a relaxed Ce2CoBi crystal.

Calculated values
formation enthalpy at 0 K: -0.3219 eV per atom
total energy: -0.4436 Ry per atom
magnetic moment: 0.01 μB/cell
distance to the lowest polymorph of the same formula: 78 meV per atom

Cell lengths 4.0173, 4.0173, 22.6088 Å; angles 90.00, 90.00, 120.00 degrees
Last column: nearest neighbours and their distance in Å.
Space group R-3m (No. 166, hexagonal axes)
Asymmetric unit:
Ce  0.0000  0.0000  0.2329  3 Co 2.76
Co  0.0000  0.0000  0.5000  6 Ce 2.76
Bi  0.0000  0.0000  0.0000  6 Ce 3.25

---

no.,calculated density (g cm⁻³),calculated volume (Å³ per cell)
1,7.481,85.36
2,5.484,508.78
3,7.127,179.20
4,6.954,734.62
5,6.803,339.65
6,7.450,591.96
7,9.564,321.37
8,8.748,393.83
9,8.246,880.01
10,8.993,431.18
11,9.026,510.15
12,7.988,518.21
13,8.849,416.06
14,7.595,571.81
15,8.277,416.23
16,8.797,391.64
17,8.659,263.97
18,8.506,700.61
19,9.073,1644.04
20,8.628,583.75
21,8.987,456.90
22,8.641,316.00